{
  "formula": "TbNdNi",
  "functional": "PBE",
  "state": "optimized geometry",
  "cell": [[-3.039, 1.636, -0.346], [-0.016, -1.440, -6.863], [-1.523, -5.897, 2.806]],
  "species": ["Ni", "Tb", "Nd", "Ni", "Tb", "Nd"],
  "fractional_positions": [[0.947, 0.840, 0.658], [0.570, 0.123, 0.908], [0.567, 0.618, 0.897], [0.930, 0.264, 0.631], [0.308, 0.981, 0.381], [0.311, 0.487, 0.392]],
  "magmom_total_mub_per_fu": 0.00,
  "e_tot_ev_per_atom": -5.24,
  "formation_enthalpy_0k_ev_per_fu": -0.5
}